DFT (PBE) results for a relaxed ZrScBe2 crystal.

Energy relative to the elements: 2.010 eV per formula unit
Calculated total energy: -5.08 eV per atom
N(E_F): 2.64 states/eV/cell
Energy above the most stable polymorph in this dataset: 55.3 kJ/mol of atoms
Space group: F-43m
Size of the total moment: 2.27 μB/cell

```
4
Lattice="0.000 3.192 3.192 3.192 0.000 3.192 3.192 3.192 0.000" Properties=species:S:1:pos:R:3 pbc="T T T"
Zr 0.000 0.000 0.000
Sc 4.787 4.787 4.787
Be 1.596 1.596 1.596
Be 3.192 3.192 3.192
```